# TaNiRh2O PBE with a Hubbard U relaxed
# * final energy: -0.370 Ry/atom
# * M_tot: 1.5 Bohr magnetons per cell
data_TaNiRh2O
_chemical_formula_sum 'Ta1 Ni1 Rh2 O1'
_space_group_name_H-M_alt 'P 4/m m m'
_space_group_IT_number 123
_space_group_name_Hall '-P 4 2'
_cell_length_a 4.720
_cell_length_b 4.720
_cell_length_c 4.518
_cell_angle_alpha 90.00
_cell_angle_beta 90.00
_cell_angle_gamma 90.00
loop_
_atom_site_label
_atom_site_fract_x
_atom_site_fract_y
_atom_site_fract_z
Ta1 0.000 0.000 0.000
Ni1 0.000 0.000 0.500
Rh1 0.000 0.500 0.000
O1 0.500 0.500 0.500